No. 1
Computed, not measured: Pr2USiRu4 after structural relaxation at the PBE level of DFT.

a b c (Å): 5.824 6.902 9.525
angles (deg): 82.59 72.20 65.04
Element x y z (fractional)
Ru: 0.185 0.236 0.375
Ru: 0.171 0.264 0.875
Ru: 0.796 0.764 0.625
Ru: 0.310 0.736 0.125
Ru: 0.954 0.736 0.875
Ru: 0.440 0.764 0.375
Ru: 0.579 0.236 0.625
Ru: 0.565 0.264 0.125
Pr: 0.577 0.500 0.846
Pr: 0.827 0.000 0.346
Pr: 0.173 0.000 0.654
Pr: 0.923 0.500 0.154
U: 0.250 0.500 0.500
U: 0.500 0.000 0.000
Si: 0.000 0.000 0.000
Si: 0.750 0.500 0.500

Space-group type: Fddd, No. 70
Energy relative to the elements, uncorrected, kJ/mol of formula units: -232

---

No. 2
Computed, not measured: PrSm2Ru after structural relaxation at the PBE level of DFT.

a b c (Å): 3.969 6.478 9.481
angles (deg): 90.00 90.00 107.81
Element x y z (fractional)
Sm: 0.144 0.288 0.070
Sm: 0.856 0.712 0.570
Sm: 0.856 0.712 0.930
Sm: 0.144 0.288 0.430
Pr: 0.421 0.842 0.250
Pr: 0.579 0.158 0.750
Ru: 0.249 0.498 0.750
Ru: 0.751 0.502 0.250

Space-group type: Cmcm, No. 63
ΔH_f (0 K), eV per atom: -0.193
Energy above the most stable polymorph in this dataset, meV per atom: 18.5

---

No. 3
Computed, not measured: Pr2Sm3Ru2 after structural relaxation at the PBE level of DFT.

a b c (Å): 3.930 6.483 9.025
angles (deg): 114.07 90.00 107.64
Element x y z (fractional)
Pr: 0.167 0.334 0.804
Pr: 0.833 0.666 0.196
Ru: 0.179 0.359 0.235
Ru: 0.821 0.641 0.765
Sm: 0.621 0.241 0.424
Sm: 0.379 0.759 0.576
Sm: 0.500 0.000 0.000

Space-group type: C2/m, No. 12
ΔH_f (0 K), eV per atom: -0.218

---

No. 4
Computed, not measured: PrSmRu4 after structural relaxation at the PBE level of DFT.

a b c (Å): 5.418 5.418 5.418
angles (deg): 60.00 60.00 60.00
Element x y z (fractional)
Pr: 0.250 0.250 0.250
Ru: 0.625 0.125 0.625
Ru: 0.125 0.625 0.625
Ru: 0.625 0.625 0.625
Ru: 0.625 0.625 0.125
Sm: 0.000 0.000 0.000

Space-group type: F-43m, No. 216
ΔH_f (0 K), eV per atom: -0.148

---

No. 5
Computed, not measured: Pr2SmRu after structural relaxation at the PBE level of DFT.

a b c (Å): 6.476 7.417 9.847
angles (deg): 90.00 90.00 90.00
Element x y z (fractional)
Pr: 0.829 0.324 0.567
Pr: 0.329 0.176 0.433
Pr: 0.671 0.824 0.567
Pr: 0.829 0.324 0.933
Pr: 0.171 0.676 0.067
Pr: 0.671 0.824 0.933
Pr: 0.329 0.176 0.067
Pr: 0.171 0.676 0.433
Sm: 0.647 0.544 0.250
Sm: 0.853 0.044 0.250
Sm: 0.353 0.456 0.750
Sm: 0.147 0.956 0.750
Ru: 0.452 0.885 0.250
Ru: 0.548 0.115 0.750
Ru: 0.952 0.615 0.750
Ru: 0.048 0.385 0.250

Space-group type: Pnma, No. 62
ΔH_f (0 K), eV per atom: -0.186
Energy above the most stable polymorph in this dataset, meV per atom: 0.0

---

No. 6
Computed, not measured: Pr3Sm2Ru2 after structural relaxation at the PBE level of DFT.

a b c (Å): 3.971 6.497 8.921
angles (deg): 112.52 90.00 107.79
Element x y z (fractional)
Sm: 0.829 0.659 0.188
Sm: 0.171 0.341 0.812
Ru: 0.817 0.634 0.771
Ru: 0.183 0.366 0.229
Pr: 0.381 0.763 0.575
Pr: 0.619 0.237 0.425
Pr: 0.500 0.000 0.000

Space-group type: C2/m, No. 12
ΔH_f (0 K), eV per atom: -0.190

---

No. 7
Computed, not measured: Pr2SmRu after structural relaxation at the PBE level of DFT.

a b c (Å): 3.737 3.737 10.869
angles (deg): 80.10 80.10 60.00
Element x y z (fractional)
Ru: 0.500 0.500 0.500
Pr: 0.109 0.109 0.672
Pr: 0.891 0.891 0.328
Sm: 0.000 0.000 0.000

Space-group type: R-3m, No. 166
ΔH_f (0 K), eV per atom: 0.225
Energy above the most stable polymorph in this dataset, meV per atom: 410.0

---

No. 8
Computed, not measured: Pr3SmRu2 after structural relaxation at the PBE level of DFT.

a b c (Å): 4.346 8.616 10.697
angles (deg): 69.76 78.28 75.39
Element x y z (fractional)
Pr: 0.947 0.884 0.222
Pr: 0.787 0.830 0.596
Pr: 0.667 0.692 0.973
Pr: 0.213 0.170 0.404
Pr: 0.053 0.116 0.778
Pr: 0.333 0.308 0.027
Sm: 0.573 0.519 0.335
Sm: 0.427 0.481 0.665
Ru: 0.862 0.434 0.841
Ru: 0.138 0.566 0.159
Ru: 0.617 0.185 0.581
Ru: 0.383 0.815 0.419

Space-group type: C2/m, No. 12
ΔH_f (0 K), eV per atom: -0.124

---

Number 1: calculated total energy -8.222 eV per atom, Fermi-level density of states 0.495 states/eV per atom. Number 2: calculated total energy -6.067 eV per atom, Fermi-level density of states 0.955 states/eV per atom. Number 3: calculated total energy -6.257 eV per atom, Fermi-level density of states 0.733 states/eV per atom. Number 4: calculated total energy -7.915 eV per atom, Fermi-level density of states 1.237 states/eV per atom. Number 5: calculated total energy -6.074 eV per atom, Fermi-level density of states 0.991 states/eV per atom. Number 6: calculated total energy -6.237 eV per atom, Fermi-level density of states 0.788 states/eV per atom. Number 7: calculated total energy -5.664 eV per atom, Fermi-level density of states 1.626 states/eV per atom. Number 8: calculated total energy -6.392 eV per atom, Fermi-level density of states 0.655 states/eV per atom.